Entry one
# PBE La3PrSn, relaxed
data_La3PrSn
_symmetry_space_group_name_H-M 'C m m m'
_symmetry_Int_Tables_number 65
_symmetry_space_group_name_Hall '-C 2 2'
_cell_length_a 8.331
_cell_length_b 15.979
_cell_length_c 5.388
_cell_angle_alpha 90.00
_cell_angle_beta 90.00
_cell_angle_gamma 90.00
loop_
_atom_site_label
_atom_site_type_symbol
_atom_site_fract_x
_atom_site_fract_y
_atom_site_fract_z
La1 La 0.000 0.157 0.000
La2 La 0.177 0.500 0.500
La3 La 0.250 0.250 0.500
Pr1 Pr 0.000 0.092 0.500
Sn1 Sn 0.000 0.365 0.000
# * total magnetic moment: 0.000 μB/atom

***

Entry two
# PBE La3PrSn, relaxed
data_La3PrSn
_symmetry_space_group_name_H-M 'C m c m'
_symmetry_Int_Tables_number 63
_symmetry_space_group_name_Hall '-C 2c 2'
_cell_length_a 4.965
_cell_length_b 26.631
_cell_length_c 4.970
_cell_angle_alpha 90.00
_cell_angle_beta 90.00
_cell_angle_gamma 90.00
loop_
_atom_site_label
_atom_site_type_symbol
_atom_site_fract_x
_atom_site_fract_y
_atom_site_fract_z
La1 La 0.000 0.056 0.250
La2 La 0.000 0.250 0.250
La3 La 0.000 0.443 0.250
Pr1 Pr 0.000 0.347 0.750
Sn1 Sn 0.000 0.153 0.750
# * total magnetic moment: 0.000 μB/atom

***

Short version: entry one is the least stable of them.

***

Entry one
# PBE La5PrSn3, relaxed
data_La5PrSn3
_symmetry_space_group_name_H-M 'P 63/m c m'
_symmetry_Int_Tables_number 193
_symmetry_space_group_name_Hall '-P 6c 2'
_cell_length_a 9.8242
_cell_length_b 9.8242
_cell_length_c 6.9124
_cell_angle_alpha 90.00
_cell_angle_beta 90.00
_cell_angle_gamma 120.00
loop_
_atom_site_label
_atom_site_type_symbol
_atom_site_fract_x
_atom_site_fract_y
_atom_site_fract_z
La1 La 0.0000 0.3337 0.2500
La2 La 0.3333 0.6667 0.0000
Pr1 Pr 0.0000 0.0000 0.0000
Sn1 Sn 0.0000 0.3325 0.7500
# * total magnetic moment: 0.369 μB/atom

***

Entry two
# PBE La5PrSn3, relaxed
data_La5PrSn3
_symmetry_space_group_name_H-M 'I 4/m c m'
_symmetry_Int_Tables_number 140
_symmetry_space_group_name_Hall '-I 4 2c'
_cell_length_a 8.393
_cell_length_b 8.393
_cell_length_c 16.569
_cell_angle_alpha 90.00
_cell_angle_beta 90.00
_cell_angle_gamma 90.00
loop_
_atom_site_label
_atom_site_type_symbol
_atom_site_fract_x
_atom_site_fract_y
_atom_site_fract_z
La1 La 0.000 0.000 0.000
La2 La 0.192 0.308 0.137
Pr1 Pr 0.000 0.500 0.250
Sn1 Sn 0.000 0.000 0.250
Sn2 Sn 0.120 0.380 0.500
# * total magnetic moment: 0.025 μB/atom

***

Short version: entry two is the least stable of them.